Entry 1:
Below is ZnMo2Pb after structural relaxation, with properties calculated at the PBE-GGA level.

## Properties
Total magnetic moment   0.0 μB/f.u.
Energy of formation from the pure elements   0.55 eV/atom
Polymorph energy (0 for the lowest one)   0.96 eV per formula unit
Fermi-level density of states   3.16 states/eV/cell

Lattice parameters (Å, degrees): 5.367 5.367 5.367 143.88 128.80 64.26
Positions (direct):
Mo: 0.007 0.007 0.000
Mo: 0.493 0.493 0.000
Pb: 0.750 0.250 0.500
Zn: 0.250 0.750 0.500

---

Entry 2:
Below is Zn3MoPb after structural relaxation, with properties calculated at the PBE-GGA level.

## Properties
Total magnetic moment   0.0 μB/f.u.
Energy of formation from the pure elements   0.77 eV/atom
Polymorph energy (0 for the lowest one)   0.00 eV per formula unit
Fermi-level density of states   2.57 states/eV/cell

Lattice parameters (Å, degrees): 4.927 4.927 4.927 90.00 90.00 90.00
Positions (direct):
Zn: 0.500 0.000 0.000
Zn: 0.000 0.000 0.500
Zn: 0.000 0.500 0.000
Pb: 0.500 0.500 0.500
Mo: 0.000 0.000 0.000

---

Entry 3:
Below is ZnMo2Pb after structural relaxation, with properties calculated at the PBE-GGA level.

## Properties
Total magnetic moment   0.0 μB/f.u.
Energy of formation from the pure elements   0.63 eV/atom
Polymorph energy (0 for the lowest one)   1.30 eV per formula unit
Fermi-level density of states   2.12 states/eV/cell

Lattice parameters (Å, degrees): 4.632 4.632 4.632 60.00 60.00 60.00
Positions (direct):
Zn: 0.750 0.750 0.750
Mo: 0.250 0.250 0.250
Mo: 0.000 0.000 0.000
Pb: 0.500 0.500 0.500

---

Entry 4:
Below is ZnMo2Pb after structural relaxation, with properties calculated at the PBE-GGA level.

## Properties
Total magnetic moment   0.0 μB/f.u.
Energy of formation from the pure elements   0.57 eV/atom
Polymorph energy (0 for the lowest one)   1.04 eV per formula unit
Fermi-level density of states   3.93 states/eV/cell

Lattice parameters (Å, degrees): 3.451 3.451 6.124 90.00 90.00 90.00
Positions (direct):
Mo: 0.000 0.000 0.555
Mo: 0.000 0.000 0.945
Pb: 0.500 0.500 0.250
Zn: 0.500 0.500 0.750